1.
Crystalline LaPr2Sm2Er2 at its relaxed geometry. Source: Alexandria, functional PBE-GGA. Values from VASP.

Properties
M_tot (μB/cell): 0.0
Volume (A^3/atom): 34.44
Uncorrected energy (eV per atom): -4.635

```
&SYSTEM
  ibrav = 0, nat = 7, ntyp = 4
/
ATOMIC_SPECIES
La 138.91 La.upf
Pr 140.91 Pr.upf
Sm 150.36 Sm.upf
Er 167.26 Er.upf
CELL_PARAMETERS angstrom
-2.444 0.182 2.599
-1.430 -4.932 -3.454
4.767 -9.816 5.170
ATOMIC_POSITIONS crystal
La 0.000 0.000 0.500
Pr 0.669 0.338 0.916
Pr 0.331 0.662 0.084
Sm 0.449 0.899 0.771
Sm 0.551 0.101 0.229
Er 0.776 0.551 0.364
Er 0.224 0.449 0.636
```

***

2.
Crystalline Li4PuS4 at its relaxed geometry. Source: Alexandria, functional PBE-GGA. Values from VASP.

Properties
Formation energy (no corrections) (meV/atom): -1102
M_tot (μB/cell): 4.0
Volume (A^3/atom): 23.73
Uncorrected energy (eV per atom): -5.379

```
&SYSTEM
  ibrav = 0, nat = 9, ntyp = 3
/
ATOMIC_SPECIES
Li 6.94 Li.upf
Pu 244.00 Pu.upf
S 32.06 S.upf
CELL_PARAMETERS angstrom
-1.911 2.126 5.591
-5.668 -2.520 -0.979
5.438 -4.412 0.010
ATOMIC_POSITIONS crystal
Li 0.500 0.000 0.000
Li 0.000 0.500 0.000
Li 0.299 0.299 0.598
Li 0.701 0.701 0.402
Pu 0.000 0.000 0.000
S 0.637 0.637 0.757
S 0.363 0.879 0.243
S 0.121 0.121 0.757
S 0.879 0.363 0.243
```

***

3.
Crystalline NdPaP at its relaxed geometry. Source: Alexandria, functional PBE-GGA. Values from VASP.

Properties
M_tot (μB/cell): 1.5
Volume (A^3/atom): 27.68
Energy above the most stable polymorph in this dataset (kJ per mole of atoms): 7.9
Uncorrected energy (eV per atom): -7.141

```
&SYSTEM
  ibrav = 0, nat = 3, ntyp = 3
/
ATOMIC_SPECIES
P 30.97 P.upf
Pa 231.04 Pa.upf
Nd 144.24 Nd.upf
CELL_PARAMETERS angstrom
6.565 0.000 0.000
0.000 3.822 0.000
0.000 -1.911 3.310
ATOMIC_POSITIONS crystal
P 0.325 0.333 0.667
Pa 0.074 0.000 0.000
Nd 0.601 0.667 0.333
```

***

4.
Crystalline CsBeCu3 at its relaxed geometry. Source: Alexandria, functional PBE-GGA. Values from VASP.

Properties
M_tot (μB/cell): 0.0
Volume (A^3/atom): 31.42
Energy above the most stable polymorph in this dataset (kJ per mole of atoms): 153.5
Uncorrected energy (eV per atom): -1.144

```
&SYSTEM
  ibrav = 0, nat = 5, ntyp = 3
/
ATOMIC_SPECIES
Cs 132.91 Cs.upf
Be 9.01 Be.upf
Cu 63.55 Cu.upf
CELL_PARAMETERS angstrom
-0.078 1.700 5.120
1.971 -4.758 1.610
5.022 1.894 -0.553
ATOMIC_POSITIONS crystal
Cs 0.000 0.000 0.000
Be 0.500 0.500 0.500
Cu 0.000 0.500 0.000
Cu 0.000 0.000 0.500
Cu 0.500 0.000 0.000
```